# 1
Density functional theory data (PBE-GGA) for a relaxed MgUH8Ir2 crystal.

Lattice parameters (Å, degrees): 6.3794 6.3794 6.3794 42.85 42.85 42.85
Fractional coordinates of all 12 atoms:
Mg (0.0000, 0.0000, 0.0000)
U (0.5000, 0.5000, 0.5000)
H (0.1108, 0.6728, 0.4015)
H (0.1662, 0.1662, 0.1662)
H (0.3272, 0.5985, 0.8892)
H (0.4015, 0.1108, 0.6728)
H (0.5985, 0.8892, 0.3272)
H (0.6728, 0.4015, 0.1108)
H (0.8338, 0.8338, 0.8338)
H (0.8892, 0.3272, 0.5985)
Ir (0.2593, 0.2593, 0.2593)
Ir (0.7407, 0.7407, 0.7407)

Values from the calculation:
VASP energy ... -57.71 eV/f.u.
N(E_F) ... 5.7 states/eV per cell
Density ... 9.99 Mg/m³

# 2
Density functional theory data (PBE-GGA) for a relaxed Dy2Er3Cu2 crystal.

Lattice parameters (Å, degrees): 6.4602 6.4602 8.9639 115.88 115.88 32.25
Fractional coordinates of all 7 atoms:
Dy (0.1553, 0.1553, 0.3132)
Dy (0.8447, 0.8447, 0.6868)
Er (0.3857, 0.3857, 0.0565)
Er (0.5000, 0.5000, 0.5000)
Er (0.6143, 0.6143, 0.9435)
Cu (0.1699, 0.1699, 0.7308)
Cu (0.8301, 0.8301, 0.2692)

Values from the calculation:
N(E_F) ... 9.0 states/eV per cell
Density ... 8.91 Mg/m³
DFT formation energy ... -0.128 eV per atom

# 3
Density functional theory data (PBE-GGA) for a relaxed LiSnRuPb crystal.

Lattice parameters (Å, degrees): 4.7321 4.7321 4.7321 60.00 60.00 60.00
Fractional coordinates of all 4 atoms:
Li (0.0000, 0.0000, 0.0000)
Sn (0.7500, 0.7500, 0.7500)
Ru (0.5000, 0.5000, 0.5000)
Pb (0.2500, 0.2500, 0.2500)

Values from the calculation:
N(E_F) ... 2.0 states/eV per cell
Density ... 9.62 Mg/m³
DFT formation energy ... -0.019 eV per atom

# 4
Density functional theory data (PBE-GGA) for a relaxed V2CuPt2 crystal.

Lattice parameters (Å, degrees): 7.5005 7.5005 2.6968 90.00 90.00 90.00
Fractional coordinates of all 10 atoms:
V (0.1151, 0.3849, 0.0000)
V (0.3849, 0.8849, 0.0000)
V (0.6151, 0.1151, 0.0000)
V (0.8849, 0.6151, 0.0000)
Cu (0.0000, 0.0000, 0.0000)
Cu (0.5000, 0.5000, 0.0000)
Pt (0.1766, 0.6766, 0.5000)
Pt (0.3234, 0.1766, 0.5000)
Pt (0.6766, 0.8234, 0.5000)
Pt (0.8234, 0.3234, 0.5000)

Values from the calculation:
N(E_F) ... 8.8 states/eV per cell
Density ... 12.16 Mg/m³
DFT formation energy ... -0.175 eV per atom

# 5
Density functional theory data (PBE-GGA) for a relaxed Tl2PAuI crystal.

Lattice parameters (Å, degrees): 6.0288 6.0288 4.5837 90.00 90.00 90.00
Fractional coordinates of all 5 atoms:
Tl (0.0000, 0.5000, 0.0000)
Tl (0.5000, 0.0000, 0.0000)
P (0.0000, 0.0000, 0.0000)
Au (0.0000, 0.0000, 0.5000)
I (0.5000, 0.5000, 0.5000)

Values from the calculation:
N(E_F) ... 2.0 states/eV per cell
Energy relative to the elements, uncorrected ... -0.10 eV/atom
Density ... 7.61 Mg/m³

# 6
Density functional theory data (PBE-GGA) for a relaxed Ta6VMo5 crystal.

Lattice parameters (Å, degrees): 7.8901 7.8901 7.8901 146.39 131.78 60.06
Fractional coordinates of all 12 atoms:
Ta (0.0834, 0.3334, 0.7500)
Ta (0.2501, 0.0000, 0.2501)
Ta (0.4165, 0.6666, 0.7500)
Ta (0.5835, 0.3334, 0.2500)
Ta (0.7499, 0.0000, 0.7499)
Ta (0.9166, 0.6666, 0.2500)
V (0.5000, 0.5000, 0.0000)
Mo (0.0000, 0.5000, 0.5000)
Mo (0.1669, 0.1669, 0.0000)
Mo (0.3357, 0.8357, 0.5000)
Mo (0.6643, 0.1643, 0.5000)
Mo (0.8331, 0.8331, 0.0000)

Values from the calculation:
N(E_F) ... 13.0 states/eV per cell
Density ... 13.36 Mg/m³
DFT formation energy ... -0.164 eV per atom